Record 1
This record from Alexandria via LeMat-Bulk describes a relaxed CeDy2YS4 crystal. The functional is PBE.

The structure belongs to space group P2/m (No. 10); the cell edges are 6.8321, 3.9189 and 6.8321 Å and the angles 90.00°, 109.25° and 90.00°. The inequivalent atoms are Ce at (0.0000, 0.0000, 0.0000), Dy at (0.5000, 0.0000, 0.5000), Dy at (0.5000, 0.5000, 0.0000), Y at (0.0000, 0.5000, 0.5000), S at (0.2543, 0.0000, 0.7474) and S at (0.2577, 0.5000, 0.2569).

As for the density of states at the Fermi level: 7.435 states/eV per cell. Its final energy is -0.24902 Ha/atom. The crystal system is monoclinic. The formation energy (no corrections) comes out at -16.10 eV per formula unit. The calculation puts the total magnetization at 0.088 μB per atom.


Record 2
This record from Alexandria via LeMat-Bulk describes a relaxed Ce2Dy3YS6 crystal. The functional is PBE.

The structure belongs to space group C2/m (No. 12); the cell edges are 6.8193, 11.8263 and 6.8621 Å and the angles 90.00°, 109.45° and 90.00°. The inequivalent atoms are Ce at (0.0000, 0.1663, 0.0000), Dy at (0.0000, 0.0000, 0.5000), Dy at (0.0000, 0.3334, 0.5000), Y at (0.0000, 0.5000, 0.0000), S at (0.2426, 0.5000, 0.7420) and S at (0.2498, 0.1644, 0.7422).

As for the density of states at the Fermi level: 24.301 states/eV per cell. Its final energy is -0.24846 Ha/atom. The crystal system is monoclinic. The formation energy (no corrections) comes out at -24.23 eV per formula unit. The calculation puts the total magnetization at 0.126 μB per atom.


Record 3
This record from Alexandria via LeMat-Bulk describes a relaxed Ce4DyY3S8 crystal. The functional is PBE.

The structure belongs to space group R-3m (No. 166, hexagonal axes); the cell edges are 7.9034, 7.9034 and 19.6284 Å and the angles 90.00°, 90.00° and 120.00°. The inequivalent atoms are Ce at (0.0000, 0.0000, 0.0000), Ce at (0.0000, 0.5000, 0.0000), Dy at (0.0000, 0.0000, 0.5000), Y at (0.0000, 0.5000, 0.5000), S at (0.0000, 0.0000, 0.2465) and S at (0.0005, 0.5002, 0.2463).

As for the density of states at the Fermi level: 65.555 states/eV per cell. Its final energy is -0.26012 Ha/atom. The crystal system is trigonal. The formation energy (no corrections) comes out at -32.50 eV per formula unit. The calculation puts the total magnetization at 0.175 μB per atom.